Record 1
# DyMoRu PBE relaxed
data_DyMoRu
_cell_length_a 3.320
_cell_length_b 3.872
_cell_length_c 5.001
_cell_angle_alpha 90.00
_cell_angle_beta 90.00
_cell_angle_gamma 90.00
_space_group_name_H-M_alt 'P m m m'
_space_group_IT_number 47
loop_
_space_group_symop_operation_xyz
'x,y,z'
'-x,-y,-z'
'-x,-y,z'
'x,y,-z'
'x,-y,-z'
'-x,y,z'
'-x,y,-z'
'x,-y,z'
loop_
_atom_site_label
_atom_site_type_symbol
_atom_site_fract_x
_atom_site_fract_y
_atom_site_fract_z
_atom_site_occupancy
Dy1 Dy 0.000 0.000 0.000 1
Mo1 Mo 0.000 0.500 0.500 1
Ru1 Ru 0.500 0.000 0.500 1
# VASP energy in eV/atom: -7.98
# Density in g/cm3: 9.29
# Energy relative to the elements in eV/atom: 0.2591

Record 2
# RbNaTeF6 PBE relaxed
data_RbNaTeF6
_cell_length_a 6.024
_cell_length_b 10.461
_cell_length_c 5.835
_cell_angle_alpha 90.00
_cell_angle_beta 90.11
_cell_angle_gamma 90.00
_space_group_name_H-M_alt 'C 1 2 1'
_space_group_IT_number 5
loop_
_space_group_symop_operation_xyz
'x,y,z'
'-x,y,-z'
'x+1/2,y+1/2,z'
'-x+1/2,y+1/2,-z'
loop_
_atom_site_label
_atom_site_type_symbol
_atom_site_fract_x
_atom_site_fract_y
_atom_site_fract_z
_atom_site_occupancy
Rb1 Rb 0.000 0.000 0.000 1
Na1 Na 0.000 0.334 0.500 1
Te1 Te 0.000 0.667 0.500 1
F1 F 0.124 0.516 0.300 1
F2 F 0.163 0.804 0.301 1
F3 F 0.210 0.180 0.301 1
# VASP energy in eV/atom: -4.33
# Energy relative to the elements, uncorrected in eV/atom: -2.4770
# Density in g/cm3: 3.16